# CdPt4Se8 | the Alexandria database | PBE-GGA | relaxed
# energy = -4.43 eV/atom
# magnetization = 0.000 μB per formula unit
# density of states at the Fermi level = 22.05 states/eV per cell
# E_form (uncorrected) = -4.6 eV/f.u.
data_CdPt4Se8
_cell_length_a 10.852
_cell_length_b 10.852
_cell_length_c 10.852
_cell_angle_alpha 90.00
_cell_angle_beta 90.00
_cell_angle_gamma 90.00
_space_group_name_H-M_alt 'F -4 3 m'
_space_group_IT_number 216
_space_group_name_Hall 'F -4 2 3'
loop_
_atom_site_label
_atom_site_type_symbol
_atom_site_fract_x
_atom_site_fract_y
_atom_site_fract_z
_atom_site_occupancy
Cd1 Cd 0.000 0.000 0.000 1
Pt1 Pt 0.121 0.121 0.621 1
Se1 Se 0.111 0.111 0.389 1
Se2 Se 0.142 0.142 0.858 1

=====

# PaAlAu11 | the Alexandria database | PBE-GGA | relaxed
# energy = -3.93 eV/atom
# magnetization = 1.240 μB per formula unit
# formation energy from the elements = -0.1378 eV per atom
# density of states at the Fermi level = 21.23 states/eV per cell
data_PaAlAu11
_cell_length_a 5.495
_cell_length_b 13.500
_cell_length_c 7.193
_cell_angle_alpha 90.00
_cell_angle_beta 110.60
_cell_angle_gamma 90.00
_space_group_name_H-M_alt 'C 1 2/m 1'
_space_group_IT_number 12
loop_
_space_group_symop_operation_xyz
'x,y,z'
'-x,-y,-z'
'-x,y,-z'
'x,-y,z'
'x+1/2,y+1/2,z'
'-x+1/2,-y+1/2,-z'
'-x+1/2,y+1/2,-z'
'x+1/2,-y+1/2,z'
loop_
_atom_site_label
_atom_site_type_symbol
_atom_site_fract_x
_atom_site_fract_y
_atom_site_fract_z
_atom_site_occupancy
Pa1 Pa 0.000 0.000 0.000 1
Al1 Al 0.000 0.500 0.500 1
Au1 Au 0.000 0.000 0.500 1
Au2 Au 0.084 0.397 0.215 1
Au3 Au 0.170 0.168 0.348 1
Au4 Au 0.250 0.250 0.000 1

=====

# InTeBr | the Alexandria database | PBE-GGA | relaxed
# energy = -2.69 eV/atom
# magnetization = 0.000 μB per formula unit
# density of states at the Fermi level = 1.69 states/eV per cell
# E_form (uncorrected) = -0.5 eV/f.u.
data_InTeBr
_cell_length_a 3.521
_cell_length_b 3.521
_cell_length_c 15.186
_cell_angle_alpha 90.00
_cell_angle_beta 90.00
_cell_angle_gamma 90.00
_space_group_name_H-M_alt 'I 4 m m'
_space_group_IT_number 107
_space_group_name_Hall 'I 4 -2'
loop_
_atom_site_label
_atom_site_type_symbol
_atom_site_fract_x
_atom_site_fract_y
_atom_site_fract_z
_atom_site_occupancy
In1 In 0.000 0.000 0.000 1
Te1 Te 0.000 0.000 0.352 1
Br1 Br 0.000 0.000 0.617 1

=====

# Cs2Na4ZnPb2 | the Alexandria database | PBE-GGA | relaxed
# energy = -1.79 eV/atom
# magnetization = 0.000 μB per formula unit
# formation energy from the elements = -0.0529 eV per atom
# density of states at the Fermi level = 2.19 states/eV per cell
data_Cs2Na4ZnPb2
_cell_length_a 13.667
_cell_length_b 8.619
_cell_length_c 5.919
_cell_angle_alpha 90.00
_cell_angle_beta 98.67
_cell_angle_gamma 90.00
_space_group_name_H-M_alt 'C 1 2/m 1'
_space_group_IT_number 12
loop_
_space_group_symop_operation_xyz
'x,y,z'
'-x,-y,-z'
'-x,y,-z'
'x,-y,z'
'x+1/2,y+1/2,z'
'-x+1/2,-y+1/2,-z'
'-x+1/2,y+1/2,-z'
'x+1/2,-y+1/2,z'
loop_
_atom_site_label
_atom_site_type_symbol
_atom_site_fract_x
_atom_site_fract_y
_atom_site_fract_z
_atom_site_occupancy
Cs1 Cs 0.109 0.000 0.246 1
Na1 Na 0.150 0.307 0.735 1
Zn1 Zn 0.000 0.500 0.000 1
Pb1 Pb 0.185 0.500 0.247 1

=====

# LiAc2BRh6 | the Alexandria database | PBE-GGA | relaxed
# energy = -6.48 eV/atom
# magnetization = 0.000 μB per formula unit
# formation energy from the elements = -0.3896 eV per atom
# density of states at the Fermi level = 22.14 states/eV per cell
data_LiAc2BRh6
_cell_length_a 6.239
_cell_length_b 6.275
_cell_length_c 8.849
_cell_angle_alpha 90.00
_cell_angle_beta 90.00
_cell_angle_gamma 90.00
_space_group_name_H-M_alt 'I m m m'
_space_group_IT_number 71
_space_group_name_Hall '-I 2 2'
loop_
_atom_site_label
_atom_site_type_symbol
_atom_site_fract_x
_atom_site_fract_y
_atom_site_fract_z
_atom_site_occupancy
Li1 Li 0.000 0.000 0.000 1
Ac1 Ac 0.000 0.500 0.251 1
B1 B 0.000 0.000 0.500 1
Rh1 Rh 0.000 0.000 0.263 1
Rh2 Rh 0.238 0.235 0.500 1

=====

# ErBeCoGe2 | the Alexandria database | PBE-GGA | relaxed
# energy = -5.41 eV/atom
# magnetization = 0.157 μB per formula unit
# formation energy from the elements = -0.4859 eV per atom
# density of states at the Fermi level = 7.55 states/eV per cell
data_ErBeCoGe2
_cell_length_a 3.882
_cell_length_b 3.882
_cell_length_c 10.251
_cell_angle_alpha 90.00
_cell_angle_beta 90.00
_cell_angle_gamma 90.00
_space_group_name_H-M_alt 'I -4 m 2'
_space_group_IT_number 119
_space_group_name_Hall 'I -4 -2'
loop_
_atom_site_label
_atom_site_type_symbol
_atom_site_fract_x
_atom_site_fract_y
_atom_site_fract_z
_atom_site_occupancy
Er1 Er 0.000 0.000 0.000 1
Be1 Be 0.000 0.500 0.750 1
Co1 Co 0.000 0.500 0.250 1
Ge1 Ge 0.000 0.000 0.376 1

=====

# TbHoEr5Sc2 | the Alexandria database | PBE-GGA | relaxed
# energy = -4.80 eV/atom
# magnetization = 0.000 μB per formula unit
# formation energy from the elements = 0.1692 eV per atom
# density of states at the Fermi level = 55.50 states/eV per cell
data_TbHoEr5Sc2
_cell_length_a 5.541
_cell_length_b 21.219
_cell_length_c 9.268
_cell_angle_alpha 90.00
_cell_angle_beta 90.00
_cell_angle_gamma 90.00
_space_group_name_H-M_alt 'C m c 21'
_space_group_IT_number 36
loop_
_space_group_symop_operation_xyz
'x,y,z'
'-x,-y,z+1/2'
'-x,y,z'
'x,-y,z+1/2'
'x+1/2,y+1/2,z'
'-x+1/2,-y+1/2,z+1/2'
'-x+1/2,y+1/2,z'
'x+1/2,-y+1/2,z+1/2'
loop_
_atom_site_label
_atom_site_type_symbol
_atom_site_fract_x
_atom_site_fract_y
_atom_site_fract_z
_atom_site_occupancy
Tb1 Tb 0.000 0.186 0.000 1
Ho1 Ho 0.000 0.402 0.402 1
Er1 Er 0.000 0.011 0.997 1
Er2 Er 0.000 0.265 0.317 1
Er3 Er 0.000 0.307 0.702 1
Er4 Er 0.000 0.392 0.029 1
Er5 Er 0.000 0.469 0.731 1
Sc1 Sc 0.000 0.113 0.307 1
Sc2 Sc 0.000 0.136 0.682 1

=====

# Sr2LiHfAu6 | the Alexandria database | PBE-GGA | relaxed
# energy = -3.95 eV/atom
# magnetization = 0.000 μB per formula unit
# formation energy from the elements = -0.4616 eV per atom
# density of states at the Fermi level = 5.17 states/eV per cell
data_Sr2LiHfAu6
_cell_length_a 6.288
_cell_length_b 6.968
_cell_length_c 7.179
_cell_angle_alpha 74.33
_cell_angle_beta 64.10
_cell_angle_gamma 63.29
_space_group_name_H-M_alt 'P -1'
_space_group_IT_number 2
loop_
_space_group_symop_operation_xyz
'x,y,z'
'-x,-y,-z'
loop_
_atom_site_label
_atom_site_type_symbol
_atom_site_fract_x
_atom_site_fract_y
_atom_site_fract_z
_atom_site_occupancy
Sr1 Sr 0.241 0.305 0.214 1
Li1 Li 0.500 0.500 0.500 1
Hf1 Hf 0.000 0.000 0.000 1
Au1 Au 0.253 0.884 0.604 1
Au2 Au 0.272 0.762 0.243 1
Au3 Au 0.277 0.237 0.753 1

=====

# Na2CdTePb | the Alexandria database | PBE-GGA | relaxed
# energy = -1.97 eV/atom
# magnetization = 0.000 μB per formula unit
# density of states at the Fermi level = 3.31 states/eV per cell
# E_form (uncorrected) = 0.5 eV/f.u.
data_Na2CdTePb
_cell_length_a 6.117
_cell_length_b 6.117
_cell_length_c 5.829
_cell_angle_alpha 90.00
_cell_angle_beta 90.00
_cell_angle_gamma 90.00
_space_group_name_H-M_alt 'P 4/m m m'
_space_group_IT_number 123
_space_group_name_Hall '-P 4 2'
loop_
_atom_site_label
_atom_site_type_symbol
_atom_site_fract_x
_atom_site_fract_y
_atom_site_fract_z
_atom_site_occupancy
Na1 Na 0.000 0.500 0.000 1
Cd1 Cd 0.000 0.000 0.500 1
Te1 Te 0.500 0.500 0.500 1
Pb1 Pb 0.500 0.500 0.000 1

=====

# GdPuNiPt | the Alexandria database | PBE-GGA | relaxed
# energy = -10.59 eV/atom
# magnetization = 1.512 μB per formula unit
# formation energy from the elements = -0.5295 eV per atom
# density of states at the Fermi level = 54.53 states/eV per cell
data_GdPuNiPt
_cell_length_a 6.941
_cell_length_b 6.941
_cell_length_c 6.941
_cell_angle_alpha 90.00
_cell_angle_beta 90.00
_cell_angle_gamma 90.00
_space_group_name_H-M_alt 'F -4 3 m'
_space_group_IT_number 216
_space_group_name_Hall 'F -4 2 3'
loop_
_atom_site_label
_atom_site_type_symbol
_atom_site_fract_x
_atom_site_fract_y
_atom_site_fract_z
_atom_site_occupancy
Gd1 Gd 0.000 0.000 0.000 1
Pu1 Pu 0.000 0.000 0.500 1
Ni1 Ni 0.250 0.250 0.750 1
Pt1 Pt 0.250 0.250 0.250 1

=====

# LaPr4Th3N8 | the Alexandria database | PBE-GGA | relaxed
# energy = -8.52 eV/atom
# magnetization = 0.000 μB per formula unit
# density of states at the Fermi level = 7.90 states/eV per cell
# E_form (uncorrected) = -23.4 eV/f.u.
data_LaPr4Th3N8
_cell_length_a 7.3800
_cell_length_b 7.3800
_cell_length_c 18.0341
_cell_angle_alpha 90.00
_cell_angle_beta 90.00
_cell_angle_gamma 120.00
_space_group_name_H-M_alt 'R -3 m'
_space_group_IT_number 166
_space_group_name_Hall '-R 3 2"'
loop_
_atom_site_label
_atom_site_type_symbol
_atom_site_fract_x
_atom_site_fract_y
_atom_site_fract_z
_atom_site_occupancy
La1 La 0.0000 0.0000 0.0000 1
Pr1 Pr 0.0000 0.0000 0.5000 1
Pr2 Pr 0.0000 0.5000 0.5000 1
Th1 Th 0.0000 0.5000 0.0000 1
N1 N 0.0000 0.0000 0.2559 1
N2 N 0.0104 0.5052 0.2545 1

=====

# PmTmMg5 | the Alexandria database | PBE-GGA | relaxed
# energy = -2.35 eV/atom
# magnetization = 0.000 μB per formula unit
# formation energy from the elements = 0.1045 eV per atom
# density of states at the Fermi level = 9.46 states/eV per cell
data_PmTmMg5
_cell_length_a 6.291
_cell_length_b 9.764
_cell_length_c 6.668
_cell_angle_alpha 90.00
_cell_angle_beta 110.10
_cell_angle_gamma 90.00
_space_group_name_H-M_alt 'C 1 2/m 1'
_space_group_IT_number 12
loop_
_space_group_symop_operation_xyz
'x,y,z'
'-x,-y,-z'
'-x,y,-z'
'x,-y,z'
'x+1/2,y+1/2,z'
'-x+1/2,-y+1/2,-z'
'-x+1/2,y+1/2,-z'
'x+1/2,-y+1/2,z'
loop_
_atom_site_label
_atom_site_type_symbol
_atom_site_fract_x
_atom_site_fract_y
_atom_site_fract_z
_atom_site_occupancy
Pm1 Pm 0.000 0.000 0.000 1
Tm1 Tm 0.000 0.500 0.500 1
Mg1 Mg 0.000 0.000 0.500 1
Mg2 Mg 0.203 0.287 0.230 1